No. 1
First-principles (meta-GGA SCAN) data for a PBEsol-optimized structure of Cd2CuAu, as listed in the Alexandria database.

The structure in POSCAR format:
```
Cd2CuAu
1.0
-1.887 2.120 4.232
1.887 -2.120 4.232
1.887 2.120 -4.232
Cd Cu Au
2 1 1
direct
0.000 0.000 0.000
0.735 0.235 0.500
0.244 0.744 0.500
0.474 0.474 0.000
```

Output
ΔH_f (0 K) (eV/atom): -0.084
V (Å³/cell): 67.7
DOS at the Fermi energy (states/eV/f.u.): 1.1

No. 2
First-principles (meta-GGA SCAN) data for a PBEsol-optimized structure of CdCuAu, as listed in the Alexandria database.

The structure in POSCAR format:
```
CdCuAu
1.0
-1.591 1.591 4.719
1.591 -1.591 4.719
1.591 1.591 -4.719
Cd Cu Au
1 1 1
direct
0.000 0.000 0.000
0.664 0.664 0.000
0.311 0.311 0.000
```

Output
ΔH_f (0 K) (eV/atom): -0.089
V (Å³/cell): 47.8
DOS at the Fermi energy (states/eV/f.u.): 0.9

No. 3
First-principles (meta-GGA SCAN) data for a PBEsol-optimized structure of CdCuAu2, as listed in the Alexandria database.

The structure in POSCAR format:
```
CdCuAu2
1.0
4.008 0.000 0.000
0.000 4.008 0.000
0.000 0.000 4.027
Cd Cu Au
1 1 2
direct
0.000 0.000 0.000
0.500 0.500 0.000
0.000 0.500 0.500
0.500 0.000 0.500
```

Output
ΔH_f (0 K) (eV/atom): -0.122
V (Å³/cell): 64.7
DOS at the Fermi energy (states/eV/f.u.): 1.0

No. 4
First-principles (meta-GGA SCAN) data for a PBEsol-optimized structure of CdCuAu, as listed in the Alexandria database.

The structure in POSCAR format:
```
CdCuAu
1.0
4.430 0.000 0.000
-2.215 3.837 0.000
0.000 0.000 2.858
Cd Cu Au
1 1 1
direct
0.000 0.000 0.000
0.667 0.333 0.552
0.333 0.667 0.475
```

Output
ΔH_f (0 K) (eV/atom): -0.073
V (Å³/cell): 48.6
DOS at the Fermi energy (states/eV/f.u.): 0.8